No. 1
Here is crystalline CdReAu2 at its relaxed geometry from Alexandria via LeMat-Bulk. Energies are from PBE.

Unit cell a=5.9046 b=8.5809 c=2.7495 alpha=90.00 beta=90.00 gamma=90.00
Closest atoms and distances in Å follow each position.
Space group Cmmm (No. 65)
Asymmetric unit:
Cd1 0.0000 0.0000 0.0000 (multiplicity 2)  2 Cd 2.75, 8 Au 2.94, 2 Re 2.95
Re1 0.0000 0.5000 0.0000 (multiplicity 2)  2 Re 2.75, 8 Au 2.94, 2 Cd 2.95
Au1 0.2500 0.2500 0.5000 (multiplicity 4)  4 Au 2.75-2.95, 4 Cd 2.94, 4 Re 2.94

Values from the calculation:
DFT formation energy ... 35.8 kJ per mole of atoms
Total magnetization ... 0.00 μB/f.u.

No. 2
Here is crystalline CdReAu2 at its relaxed geometry from Alexandria via LeMat-Bulk. Energies are from PBE.

Unit cell a=9.8853 b=2.7731 c=5.2126 alpha=90.00 beta=99.94 gamma=90.00
Closest atoms and distances in Å follow each position.
Space group Cm (No. 8)
Asymmetric unit:
Cd1 0.0000 0.0000 0.0000 (multiplicity 2)  2 Cd 2.77, 7 Au 2.89-3.02, 2 Re 2.95
Re1 0.2555 0.0000 0.7181 (multiplicity 2)  2 Re 2.77, 7 Au 2.82-3.00, 2 Cd 2.95
Au1 0.0114 0.5000 0.5172 (multiplicity 2)  5 Au 2.77-3.07, 3 Re 2.82-2.90, 4 Cd 2.89-3.02
Au2 0.2529 0.5000 0.2279 (multiplicity 2)  5 Au 2.77-3.07, 3 Cd 2.89-2.93, 4 Re 2.90-3.00

Values from the calculation:
DFT formation energy ... 41.2 kJ per mole of atoms
Total magnetization ... 0.00 μB/f.u.

No. 3
Here is crystalline CdReAu2 at its relaxed geometry from Alexandria via LeMat-Bulk. Energies are from PBE.

Unit cell a=2.8165 b=2.8165 c=8.8688 alpha=90.00 beta=90.00 gamma=90.00
Closest atoms and distances in Å follow each position.
Space group P4mm (No. 99)
Asymmetric unit:
Cd1 0.0000 0.0000 0.0000 (multiplicity 1)  4 Cd 2.82, 4 Re 2.99, 4 Au 3.04
Re1 0.5000 0.5000 0.2507 (multiplicity 1)  4 Re 2.82, 4 Au 2.85, 4 Cd 2.99
Au1 0.0000 0.0000 0.4809 (multiplicity 1)  8 Au 2.82-3.05, 4 Re 2.85
Au2 0.5000 0.5000 0.7411 (multiplicity 1)  8 Au 2.82-3.05, 4 Cd 3.04

Values from the calculation:
DFT formation energy ... 34.7 kJ per mole of atoms
Total magnetization ... 0.00 μB/f.u.

No. 4
Here is crystalline CdReAu2 at its relaxed geometry from Alexandria via LeMat-Bulk. Energies are from PBE.

Unit cell a=6.5998 b=6.5998 c=6.5998 alpha=90.00 beta=90.00 gamma=90.00
Closest atoms and distances in Å follow each position.
Space group F-43m (No. 216)
Asymmetric unit:
Cd1 0.0000 0.0000 0.0000 (multiplicity 4)  4 Re 2.86, 4 Au 2.86
Re1 0.2500 0.2500 0.2500 (multiplicity 4)  4 Cd 2.86, 4 Au 2.86
Au1 0.0000 0.0000 0.5000 (multiplicity 4)  4 Re 2.86, 4 Au 2.86
Au2 0.2500 0.2500 0.7500 (multiplicity 4)  4 Cd 2.86, 4 Au 2.86

Values from the calculation:
DFT formation energy ... 64.5 kJ per mole of atoms
Total magnetization ... 2.34 μB/f.u.

No. 5
Here is crystalline CdReAu2 at its relaxed geometry from Alexandria via LeMat-Bulk. Energies are from PBE.

Unit cell a=2.7786 b=4.2828 c=5.9352 alpha=90.00 beta=90.00 gamma=90.00
Closest atoms and distances in Å follow each position.
Space group Pmm2 (No. 25)
Asymmetric unit:
Cd1 0.0000 0.0000 0.0000 (multiplicity 1)  2 Cd 2.78, 6 Au 2.86-3.07, 4 Re 2.99
Re1 0.5000 0.5000 0.2630 (multiplicity 1)  2 Re 2.78, 6 Au 2.86-3.03, 4 Cd 2.99
Au1 0.0000 0.0000 0.4819 (multiplicity 1)  6 Au 2.78-3.02, 2 Cd 2.86-3.07, 4 Re 2.86
Au2 0.5000 0.5000 0.7527 (multiplicity 1)  6 Au 2.78-3.02, 2 Re 2.91-3.03, 4 Cd 2.94

Values from the calculation:
DFT formation energy ... 45.7 kJ per mole of atoms
Total magnetization ... 0.43 μB/f.u.

No. 6
Here is crystalline CdReAu at its relaxed geometry from Alexandria via LeMat-Bulk. Energies are from PBE.

Unit cell a=6.2957 b=6.2957 c=6.2957 alpha=90.00 beta=90.00 gamma=90.00
Closest atoms and distances in Å follow each position.
Space group F-43m (No. 216)
Asymmetric unit:
Cd1 0.0000 0.0000 0.0000 (multiplicity 4)  4 Au 2.73
Re1 0.0000 0.0000 0.5000 (multiplicity 4)  4 Au 2.73
Au1 0.2500 0.2500 0.7500 (multiplicity 4)  4 Cd 2.73, 4 Re 2.73

Values from the calculation:
Excess energy over the best structure of this formula in the dataset ... 647 meV per atom
DFT formation energy ... 101.9 kJ per mole of atoms
Total magnetization ... 2.05 μB/f.u.

No. 7
Here is crystalline CdRe4Au at its relaxed geometry from Alexandria via LeMat-Bulk. Energies are from PBE.

Unit cell a=7.4502 b=7.4502 c=7.4502 alpha=90.00 beta=90.00 gamma=90.00
Closest atoms and distances in Å follow each position.
Space group F-43m (No. 216)
Asymmetric unit:
Cd1 0.0000 0.0000 0.0000 (multiplicity 4)  12 Re 3.09, 4 Au 3.23
Re1 0.1244 0.1244 0.6244 (multiplicity 16)  6 Re 2.62-2.65
Au1 0.2500 0.2500 0.2500 (multiplicity 4)  12 Re 3.09, 4 Cd 3.23

Values from the calculation:
DFT formation energy ... 66.3 kJ per mole of atoms
Total magnetization ... 0.00 μB/f.u.

No. 8
Here is crystalline CdReAu2 at its relaxed geometry from Alexandria via LeMat-Bulk. Energies are from PBE.

Unit cell a=2.9028 b=2.9028 c=28.7630 alpha=90.00 beta=90.00 gamma=120.00
Closest atoms and distances in Å follow each position.
Space group R-3m (No. 166, hexagonal axes)
Asymmetric unit:
Cd1 0.0000 0.0000 0.0000 (multiplicity 3)  6 Cd 2.90, 6 Au 3.02
Re1 0.0000 0.0000 0.5000 (multiplicity 3)  6 Au 2.83, 6 Re 2.90
Au1 0.0000 0.0000 0.2460 (multiplicity 6)  3 Re 2.83, 6 Au 2.90, 3 Cd 3.02

Values from the calculation:
DFT formation energy ... 28.0 kJ per mole of atoms
Total magnetization ... 0.00 μB/f.u.

No. 9
Here is crystalline CdReAu2 at its relaxed geometry from Alexandria via LeMat-Bulk. Energies are from PBE.

Unit cell a=2.9032 b=2.9032 c=28.8386 alpha=90.00 beta=90.00 gamma=120.00
Closest atoms and distances in Å follow each position.
Space group R3m (No. 160, hexagonal axes)
Asymmetric unit:
Cd1 0.0000 0.0000 0.0000 (multiplicity 3)  6 Cd 2.90, 3 Re 2.94, 3 Au 3.01
Re1 0.0000 0.0000 0.2498 (multiplicity 3)  3 Au 2.81, 6 Re 2.90, 3 Cd 2.94
Au1 0.0000 0.0000 0.5051 (multiplicity 3)  3 Re 2.81, 9 Au 2.90-2.97
Au2 0.0000 0.0000 0.7535 (multiplicity 3)  9 Au 2.90-2.97, 3 Cd 3.01

Values from the calculation:
DFT formation energy ... 32.6 kJ per mole of atoms
Total magnetization ... 0.00 μB/f.u.

No. 10
Here is crystalline CdReAu at its relaxed geometry from Alexandria via LeMat-Bulk. Energies are from PBE.

Unit cell a=2.8689 b=2.8689 c=7.2733 alpha=90.00 beta=90.00 gamma=120.00
Closest atoms and distances in Å follow each position.
Space group P3m1 (No. 156)
Asymmetric unit:
Cd1 0.0000 0.0000 0.0000 (multiplicity 1)  6 Cd 2.87, 3 Re 2.95, 3 Au 3.02
Re1 0.6667 0.3333 0.3352 (multiplicity 1)  3 Au 2.84, 6 Re 2.87, 3 Cd 2.95
Au1 0.3333 0.6667 0.6531 (multiplicity 1)  3 Re 2.84, 6 Au 2.87, 3 Cd 3.02

Values from the calculation:
Excess energy over the best structure of this formula in the dataset ... 0 meV per atom
DFT formation energy ... 39.5 kJ per mole of atoms
Total magnetization ... 0.00 μB/f.u.

No. 11
Here is crystalline CdReAu2 at its relaxed geometry from Alexandria via LeMat-Bulk. Energies are from PBE.

Unit cell a=4.0221 b=4.0221 c=19.3730 alpha=90.00 beta=90.00 gamma=90.00
Closest atoms and distances in Å follow each position.
Space group I-42d (No. 122)
Asymmetric unit:
Cd1 0.0000 0.0000 0.0000 (multiplicity 4)  4 Au 2.82, 4 Re 2.84
Re1 0.0000 0.0000 0.5000 (multiplicity 4)  4 Au 2.80, 4 Cd 2.84
Au1 0.2434 0.2500 0.6250 (multiplicity 8)  2 Re 2.80, 4 Au 2.81-2.88, 2 Cd 2.82

Values from the calculation:
DFT formation energy ... 86.0 kJ per mole of atoms
Total magnetization ... 2.09 μB/f.u.

No. 12
Here is crystalline CdReAu2 at its relaxed geometry from Alexandria via LeMat-Bulk. Energies are from PBE.

Unit cell a=4.2051 b=4.2051 c=8.1038 alpha=90.00 beta=90.00 gamma=90.00
Closest atoms and distances in Å follow each position.
Space group I-4m2 (No. 119)
Asymmetric unit:
Cd1 0.0000 0.0000 0.0000 (multiplicity 2)  4 Re 2.92, 8 Au 2.92-2.97
Re1 0.0000 0.5000 0.7500 (multiplicity 2)  4 Cd 2.92, 8 Au 2.92-2.97
Au1 0.0000 0.0000 0.5000 (multiplicity 2)  4 Re 2.92, 4 Au 2.92, 4 Cd 2.97
Au2 0.0000 0.5000 0.2500 (multiplicity 2)  4 Cd 2.92, 4 Au 2.92, 4 Re 2.97

Values from the calculation:
DFT formation energy ... 59.9 kJ per mole of atoms
Total magnetization ... 2.38 μB/f.u.

No. 13
Here is crystalline CdReAu at its relaxed geometry from Alexandria via LeMat-Bulk. Energies are from PBE.

Unit cell a=2.7957 b=2.7957 c=13.3378 alpha=90.00 beta=90.00 gamma=90.00
Closest atoms and distances in Å follow each position.
Space group I4mm (No. 107)
Asymmetric unit:
Cd1 0.0000 0.0000 0.0000 (multiplicity 2)  4 Cd 2.80, 4 Re 2.98, 4 Au 3.07
Re1 0.0000 0.0000 0.6668 (multiplicity 2)  4 Re 2.80, 4 Au 2.88, 4 Cd 2.98
Au1 0.0000 0.0000 0.3238 (multiplicity 2)  4 Au 2.80, 4 Re 2.88, 4 Cd 3.07

Values from the calculation:
Excess energy over the best structure of this formula in the dataset ... 42 meV per atom
DFT formation energy ... 43.6 kJ per mole of atoms
Total magnetization ... 0.00 μB/f.u.

No. 14
Here is crystalline CdReAu2 at its relaxed geometry from Alexandria via LeMat-Bulk. Energies are from PBE.

Unit cell a=9.4708 b=2.7734 c=5.4618 alpha=90.00 beta=97.95 gamma=90.00
Closest atoms and distances in Å follow each position.
Space group C2/m (No. 12)
Asymmetric unit:
Cd1 0.0000 0.0000 0.0000 (multiplicity 2)  2 Cd 2.77, 6 Au 2.89-2.99, 4 Re 3.06
Re1 0.0000 0.5000 0.5000 (multiplicity 2)  2 Re 2.77, 6 Au 2.85-2.90, 4 Cd 3.06
Au1 0.2442 0.0000 0.7354 (multiplicity 4)  4 Au 2.77-2.94, 3 Re 2.85-2.90, 3 Cd 2.89-2.99

Values from the calculation:
DFT formation energy ... 44.0 kJ per mole of atoms
Total magnetization ... 0.32 μB/f.u.

No. 15
Here is crystalline Sr2CdReAu at its relaxed geometry from Alexandria via LeMat-Bulk. Energies are from PBE.

Unit cell a=5.8514 b=5.8514 c=4.9895 alpha=90.00 beta=90.00 gamma=90.00
Closest atoms and distances in Å follow each position.
Space group P4/mmm (No. 123)
Asymmetric unit:
Sr1 0.0000 0.5000 0.0000 (multiplicity 2)  2 Re 2.93
Cd1 0.0000 0.0000 0.5000 (multiplicity 1)  8 Sr 3.84, 4 Au 4.14
Re1 0.5000 0.5000 0.0000 (multiplicity 1)  2 Au 2.49
Au1 0.5000 0.5000 0.5000 (multiplicity 1)  2 Re 2.49

Values from the calculation:
DFT formation energy ... 57.0 kJ per mole of atoms
Total magnetization ... 0.77 μB/f.u.

No. 16
Here is crystalline TlCdRe2Au at its relaxed geometry from Alexandria via LeMat-Bulk. Energies are from PBE.

Unit cell a=5.0762 b=5.0762 c=5.1223 alpha=90.00 beta=90.00 gamma=90.00
Closest atoms and distances in Å follow each position.
Space group P4/mmm (No. 123)
Asymmetric unit:
Tl1 0.0000 0.0000 0.0000 (multiplicity 1)  4 Cd 3.59, 8 Re 3.61
Cd1 0.5000 0.5000 0.0000 (multiplicity 1)  2 Au 2.56
Re1 0.0000 0.5000 0.5000 (multiplicity 2)  2 Au 2.54
Au1 0.5000 0.5000 0.5000 (multiplicity 1)  4 Re 2.54, 2 Cd 2.56

Values from the calculation:
DFT formation energy ... 191.3 kJ per mole of atoms
Total magnetization ... 5.75 μB/f.u.

No. 17
Here is crystalline ZrCdReAu2 at its relaxed geometry from Alexandria via LeMat-Bulk. Energies are from PBE.

Unit cell a=4.9357 b=4.9357 c=5.3304 alpha=90.00 beta=90.00 gamma=90.00
Closest atoms and distances in Å follow each position.
Space group P4/mmm (No. 123)
Asymmetric unit:
Zr1 0.0000 0.0000 0.0000 (multiplicity 1)  2 Cd 2.67
Cd1 0.0000 0.0000 0.5000 (multiplicity 1)  4 Au 2.47, 2 Zr 2.67
Re1 0.5000 0.5000 0.0000 (multiplicity 1)  4 Zr 3.49, 8 Au 3.63
Au1 0.0000 0.5000 0.5000 (multiplicity 2)  2 Cd 2.47

Values from the calculation:
DFT formation energy ... 163.5 kJ per mole of atoms
Total magnetization ... 2.14 μB/f.u.

No. 18
Here is crystalline CdRh2Au at its relaxed geometry from Alexandria via LeMat-Bulk. Energies are from PBE.

Unit cell a=2.8734 b=2.8734 c=27.6088 alpha=90.00 beta=90.00 gamma=120.00
Closest atoms and distances in Å follow each position.
Space group R-3m (No. 166, hexagonal axes)
Asymmetric unit:
Cd1 0.0000 0.0000 0.0000 (multiplicity 3)  6 Rh 2.83, 6 Cd 2.87
Rh1 0.0000 0.0000 0.2501 (multiplicity 6)  3 Cd 2.83, 3 Au 2.84, 6 Rh 2.87
Au1 0.0000 0.0000 0.5000 (multiplicity 3)  6 Rh 2.84, 6 Au 2.87

Values from the calculation:
DFT formation energy ... 11.3 kJ per mole of atoms
Total magnetization ... 1.16 μB/f.u.

No. 19
Here is crystalline CdRhAu at its relaxed geometry from Alexandria via LeMat-Bulk. Energies are from PBE.

Unit cell a=2.9344 b=2.9344 c=6.9493 alpha=90.00 beta=90.00 gamma=120.00
Closest atoms and distances in Å follow each position.
Space group P3m1 (No. 156)
Asymmetric unit:
Cd1 0.0000 0.0000 0.0000 (multiplicity 1)  3 Rh 2.80, 6 Cd 2.93, 3 Au 2.97
Rh1 0.6667 0.3333 0.3205 (multiplicity 1)  3 Cd 2.80, 3 Au 2.84, 6 Rh 2.93
Au1 0.3333 0.6667 0.6490 (multiplicity 1)  3 Rh 2.84, 6 Au 2.93, 3 Cd 2.97

Values from the calculation:
Excess energy over the best structure of this formula in the dataset ... 51 meV per atom
DFT formation energy ... 3.9 kJ per mole of atoms
Total magnetization ... 0.00 μB/f.u.

No. 20
Here is crystalline CdRhAu2 at its relaxed geometry from Alexandria via LeMat-Bulk. Energies are from PBE.

Unit cell a=3.0446 b=3.8496 c=5.9750 alpha=90.00 beta=90.00 gamma=90.00
Closest atoms and distances in Å follow each position.
Space group Pmm2 (No. 25)
Asymmetric unit:
Cd1 0.0000 0.0000 0.0000 (multiplicity 1)  4 Rh 2.84, 6 Au 2.87-3.10, 2 Cd 3.04
Rh1 0.5000 0.5000 0.2387 (multiplicity 1)  4 Cd 2.84, 6 Au 2.85-3.00, 2 Rh 3.04
Au1 0.0000 0.0000 0.4809 (multiplicity 1)  4 Rh 2.85, 2 Cd 2.87-3.10, 6 Au 2.89-3.04
Au2 0.5000 0.5000 0.7358 (multiplicity 1)  6 Au 2.89-3.04, 4 Cd 2.92, 2 Rh 2.97-3.00

Values from the calculation:
DFT formation energy ... -2.0 kJ per mole of atoms
Total magnetization ... 0.00 μB/f.u.

no.,calculated total energy (eV/atom)
1,-4.609
2,-4.552
3,-4.620
4,-4.311
5,-4.506
6,-4.490
7,-8.310
8,-4.689
9,-4.642
10,-5.137
11,-4.088
12,-4.359
13,-5.095
14,-4.523
15,-3.410
16,-4.309
17,-3.999
18,-4.607
19,-3.807
20,-3.726